(1)
First-principles (PBE) data for a relaxed Ac2SmDyHo crystal, as listed in the Alexandria database.

- SG = Pmma
- DFT formation energy (eV per atom) = 0.279
- VASP energy (eV/atom) = -4.144

Geometry as POSCAR:
```
Ac2SmDyHo
1.0
6.6836 0.0000 0.0000
0.0000 8.8601 1.6317
0.0000 -1.1608 6.3092
Ac Sm Dy Ho
4 2 2 2
Direct
0.7102 0.7028 0.7498 Ac
0.7102 0.2972 0.7502 Ac
0.2898 0.7028 0.2498 Ac
0.2898 0.2972 0.2502 Ac
0.5810 0.0000 0.2500 Sm
0.4190 0.0000 0.7500 Sm
0.1817 0.5000 0.7500 Dy
0.8183 0.5000 0.2500 Dy
0.0000 0.0000 0.0000 Ho
0.0000 0.0000 0.5000 Ho
```

(2)
First-principles (PBE) data for a relaxed Dy4In2C crystal, as listed in the Alexandria database.

- SG = I4/mmm
- DFT formation energy (eV per atom) = -0.371
- VASP energy (eV/atom) = -5.101

Geometry as POSCAR:
```
Dy4In2C
1.0
4.9501 0.0000 0.0000
0.0000 4.9501 0.0000
-2.4751 -2.4751 7.5745
C In Dy
1 2 4
Direct
0.0000 0.0000 0.0000 C
0.6310 0.6310 0.2621 In
0.3690 0.3690 0.7379 In
0.8384 0.8384 0.6768 Dy
0.1616 0.1616 0.3232 Dy
0.0000 0.5000 0.0000 Dy
0.5000 0.0000 0.0000 Dy
```

(3)
First-principles (PBE) data for a relaxed VIrRh4 crystal, as listed in the Alexandria database.

- SG = Cmmm
- DFT formation energy (eV per atom) = -0.294
- VASP energy (eV/atom) = -8.191

Geometry as POSCAR:
```
VIrRh4
1.0
-2.6227 -1.0348 2.5888
2.7888 -1.2050 2.3436
1.5822 5.7326 1.0646
V Ir Rh
1 1 4
Direct
0.0000 0.0000 0.0000 V
0.5000 0.5000 0.0000 Ir
0.3392 0.0000 0.6784 Rh
0.6608 0.0000 0.3216 Rh
0.8367 0.5000 0.6733 Rh
0.1633 0.5000 0.3267 Rh
```

(4)
First-principles (PBE) data for a relaxed MnGaBr6 crystal, as listed in the Alexandria database.

- SG = C2/m
- formation energy without anion corrections (eV per atom) = -0.61
- VASP energy (eV/atom) = -3.386

Geometry as POSCAR:
```
MnGaBr6
1.0
7.2650 -0.7715 -2.0091
-3.8826 5.2220 -1.6985
0.0546 0.7540 7.0226
Mn Ga Br
1 1 6
Direct
0.0000 0.0000 0.0000 Mn
0.5000 0.0000 0.0000 Ga
0.9173 0.1415 0.2786 Br
0.6386 0.8629 0.7214 Br
0.3614 0.1371 0.2786 Br
0.0827 0.8585 0.7214 Br
0.2849 0.5686 0.0000 Br
0.7151 0.4314 0.0000 Br
```

(5)
First-principles (PBE) data for a relaxed BaHfS3 crystal, as listed in the Alexandria database.

- SG = I-4m2
- formation energy without anion corrections (eV per atom) = -1.20
- VASP energy (eV/atom) = -6.052

Geometry as POSCAR:
```
BaHfS3
1.0
5.9264 0.0000 0.0000
0.0000 5.9264 0.0000
2.9632 2.9632 7.7589
S Hf Ba
6 2 2
Direct
0.1689 0.8945 0.2109 S
0.1055 0.8311 0.7891 S
0.1055 0.3798 0.7891 S
0.6202 0.8945 0.2109 S
0.2898 0.2898 0.4204 S
0.7102 0.7102 0.5796 S
0.0000 0.0000 0.0000 Hf
0.2500 0.7500 0.5000 Hf
0.6273 0.1273 0.7453 Ba
0.8727 0.3727 0.2547 Ba
```

(6)
First-principles (PBE) data for a relaxed NbSCl3 crystal, as listed in the Alexandria database.

- SG = Pm-3m
- formation energy without anion corrections (eV per atom) = -0.10
- VASP energy (eV/atom) = -4.051

Geometry as POSCAR:
```
NbSCl3
1.0
4.8650 0.0000 0.0000
0.0000 4.8650 0.0000
0.0000 0.0000 4.8650
Nb S Cl
1 1 3
Direct
0.0000 0.0000 0.0000 Nb
0.5000 0.5000 0.5000 S
0.0000 0.5000 0.0000 Cl
0.0000 0.0000 0.5000 Cl
0.5000 0.0000 0.0000 Cl
```

(7)
First-principles (PBE) data for a relaxed RbLiCd2F8 crystal, as listed in the Alexandria database.

- SG = P-1
- formation energy without anion corrections (eV per atom) = -1.97
- VASP energy (eV/atom) = -3.614

Geometry as POSCAR:
```
RbLiCd2F8
1.0
-0.4870 -1.1763 3.9731
4.6889 -3.9019 0.3535
5.5277 4.2193 3.2830
Rb Li Cd F
1 1 2 8
Direct
0.0000 0.0000 0.5000 Rb
0.0000 0.0000 0.0000 Li
0.3832 0.4181 0.7439 Cd
0.6168 0.5819 0.2561 Cd
0.0975 0.7390 0.2186 F
0.6719 0.7942 0.9667 F
0.8700 0.2591 0.1583 F
0.9025 0.2610 0.7814 F
0.3281 0.2058 0.0333 F
0.1300 0.7409 0.8417 F
0.5601 0.6987 0.5239 F
0.4399 0.3013 0.4761 F
```

(8)
First-principles (PBE) data for a relaxed LaFeHg2 crystal, as listed in the Alexandria database.

- SG = I-4m2
- DFT formation energy (eV per atom) = 0.124
- VASP energy (eV/atom) = -3.375

Geometry as POSCAR:
```
LaFeHg2
1.0
-1.7151 -3.4107 3.4111
-0.6780 -3.5341 -3.6415
4.5269 2.3079 0.6253
Fe Hg La
1 2 1
Direct
0.7500 0.2500 0.5000 Fe
0.0000 0.0000 0.0000 Hg
0.2500 0.7500 0.5000 Hg
0.5000 0.5000 0.0000 La
```